[1]
Computed, not measured: a relaxed Y2MgGe3Pd4 crystal at the PBE level of DFT.

a b c (Å): 4.1499 4.1499 10.9974
angles (deg): 90.00 90.00 90.00
Space group P-4m2 (No. 115)
Symmetry-distinct sites (fractional):
Y 0.0000 0.5000 0.2376 (multiplicity 2)
Mg 0.0000 0.0000 0.5000 (multiplicity 1)
Ge 0.0000 0.5000 0.8672 (multiplicity 2)
Ge 0.5000 0.5000 0.5000 (multiplicity 1)
Pd 0.0000 0.0000 0.0000 (multiplicity 1)
Pd 0.0000 0.5000 0.6460 (multiplicity 2)
Pd 0.5000 0.5000 0.0000 (multiplicity 1)

Calculated values
* crystal system: tetragonal
* energy relative to the elements: -7.911 eV/f.u.

=====

[2]
Computed, not measured: a relaxed Li3PuF6 crystal at the PBE level of DFT.

a b c (Å): 6.8669 10.3975 3.5943
angles (deg): 90.00 90.00 90.00
Space group Cmmm (No. 65)
Symmetry-distinct sites (fractional):
Li 0.0000 0.0000 0.0000 (multiplicity 2)
Li 0.2500 0.2500 0.5000 (multiplicity 4)
Pu 0.0000 0.5000 0.0000 (multiplicity 2)
F 0.0000 0.3494 0.5000 (multiplicity 4)
F 0.2083 0.1240 0.0000 (multiplicity 8)

Calculated values
* formation energy (no corrections): -3.115 eV/atom
* crystal system: orthorhombic

=====

[3]
Computed, not measured: a relaxed Ca2ReTe crystal at the PBE level of DFT.

a b c (Å): 3.4686 3.4686 8.8517
angles (deg): 90.00 90.00 90.00
Space group P4mm (No. 99)
Symmetry-distinct sites (fractional):
Ca 0.0000 0.0000 0.0000 (multiplicity 1)
Ca 0.5000 0.5000 0.3687 (multiplicity 1)
Re 0.0000 0.0000 0.6079 (multiplicity 1)
Te 0.5000 0.5000 0.7454 (multiplicity 1)

Calculated values
* formation energy (no corrections): 0.149 eV/atom
* crystal system: tetragonal

=====

[4]
Computed, not measured: a relaxed SrLa2Ti crystal at the PBE level of DFT.

a b c (Å): 8.1333 8.1333 8.1333
angles (deg): 90.00 90.00 90.00
Space group Fm-3m (No. 225)
Symmetry-distinct sites (fractional):
Sr 0.0000 0.0000 0.0000 (multiplicity 4)
La 0.2500 0.2500 0.2500 (multiplicity 8)
Ti 0.0000 0.0000 0.5000 (multiplicity 4)

Calculated values
* crystal system: cubic
* energy relative to the elements: 1.677 eV/f.u.
* relative energy among the computed polymorphs: 0 meV/atom

=====

[5]
Computed, not measured: a relaxed Ba2Bi3Au crystal at the PBE level of DFT.

a b c (Å): 4.8511 5.1003 9.1851
angles (deg): 90.00 90.00 90.00
Space group Pmm2 (No. 25)
Symmetry-distinct sites (fractional):
Ba 0.0000 0.0000 0.0000 (multiplicity 1)
Ba 0.0000 0.5000 0.4925 (multiplicity 1)
Bi 0.5000 0.0000 0.6297 (multiplicity 1)
Bi 0.5000 0.5000 0.1811 (multiplicity 1)
Bi 0.5000 0.5000 0.8332 (multiplicity 1)
Au 0.5000 0.0000 0.3187 (multiplicity 1)

Calculated values
* crystal system: orthorhombic
* energy relative to the elements: -3.918 eV/f.u.

=====

[6]
Computed, not measured: a relaxed KCdSe3 crystal at the PBE level of DFT.

a b c (Å): 6.0289 6.0289 6.0289
angles (deg): 90.00 90.00 90.00
Space group Pm-3m (No. 221)
Symmetry-distinct sites (fractional):
K 0.0000 0.0000 0.0000 (multiplicity 1)
Cd 0.5000 0.5000 0.5000 (multiplicity 1)
Se 0.0000 0.0000 0.5000 (multiplicity 3)

Calculated values
* formation energy (no corrections): 0.797 eV/atom
* crystal system: cubic
* relative energy among the computed polymorphs: 936 meV/atom

=====

[7]
Computed, not measured: a relaxed CaWN2 crystal at the PBE level of DFT.

a b c (Å): 5.5812 5.5812 5.5812
angles (deg): 90.00 90.00 90.00
Space group Fm-3m (No. 225)
Symmetry-distinct sites (fractional):
Ca 0.0000 0.0000 0.0000 (multiplicity 4)
W 0.0000 0.0000 0.5000 (multiplicity 4)
N 0.2500 0.2500 0.2500 (multiplicity 8)

Calculated values
* formation energy (no corrections): 0.432 eV/atom
* crystal system: cubic
* relative energy among the computed polymorphs: 1171 meV/atom

=====

[8]
Computed, not measured: a relaxed Ho3CuTe crystal at the PBE level of DFT.

a b c (Å): 15.3976 10.6086 6.8775
angles (deg): 90.00 100.83 90.00
Space group C2/c (No. 15)
Symmetry-distinct sites (fractional):
Ho 0.0879 0.2471 0.4600 (multiplicity 8)
Ho 0.0899 0.4288 0.9217 (multiplicity 8)
Ho 0.1345 0.0870 0.0352 (multiplicity 8)
Cu 0.0000 0.0331 0.2500 (multiplicity 4)
Cu 0.0000 0.1993 0.7500 (multiplicity 4)
Te 0.2389 0.3635 0.2659 (multiplicity 8)

Calculated values
* formation energy (no corrections): -0.489 eV/atom
* crystal system: monoclinic
* relative energy among the computed polymorphs: 78 meV/atom

=====

[9]
Computed, not measured: a relaxed LiDyTmLu crystal at the PBE level of DFT.

a b c (Å): 7.6264 7.6264 7.6264
angles (deg): 90.00 90.00 90.00
Space group F-43m (No. 216)
Symmetry-distinct sites (fractional):
Li 0.0000 0.0000 0.0000 (multiplicity 4)
Dy 0.2500 0.2500 0.2500 (multiplicity 4)
Tm 0.2500 0.2500 0.7500 (multiplicity 4)
Lu 0.0000 0.0000 0.5000 (multiplicity 4)

Calculated values
* crystal system: cubic
* energy relative to the elements: 0.662 eV/f.u.

=====

[10]
Computed, not measured: a relaxed CeThScTi crystal at the PBE level of DFT.

a b c (Å): 7.4521 7.4521 7.4521
angles (deg): 90.00 90.00 90.00
Space group F-43m (No. 216)
Symmetry-distinct sites (fractional):
Ce 0.0000 0.0000 0.0000 (multiplicity 4)
Th 0.0000 0.0000 0.5000 (multiplicity 4)
Sc 0.2500 0.2500 0.2500 (multiplicity 4)
Ti 0.2500 0.2500 0.7500 (multiplicity 4)

Calculated values
* crystal system: cubic
* energy relative to the elements: 0.791 eV/f.u.

=====

[11]
Computed, not measured: a relaxed BaCaC3 crystal at the PBE level of DFT.

a b c (Å): 4.7466 4.7466 4.7466
angles (deg): 90.00 90.00 90.00
Space group Pm-3m (No. 221)
Symmetry-distinct sites (fractional):
Ba 0.0000 0.0000 0.0000 (multiplicity 1)
Ca 0.5000 0.5000 0.5000 (multiplicity 1)
C 0.0000 0.0000 0.5000 (multiplicity 3)

Calculated values
* crystal system: cubic
* energy relative to the elements: 13.783 eV/f.u.
* relative energy among the computed polymorphs: 510 meV/atom

=====

[12]
Computed, not measured: a relaxed Li2Tl3Hg6 crystal at the PBE level of DFT.

a b c (Å): 4.3044 4.3044 31.4667
angles (deg): 90.00 90.00 90.00
Space group I4/mmm (No. 139)
Symmetry-distinct sites (fractional):
Li 0.0000 0.0000 0.1393 (multiplicity 4)
Tl 0.0000 0.0000 0.3293 (multiplicity 4)
Tl 0.0000 0.0000 0.5000 (multiplicity 2)
Hg 0.0000 0.0000 0.2269 (multiplicity 4)
Hg 0.0000 0.5000 0.0797 (multiplicity 8)

Calculated values
* crystal system: tetragonal
* energy relative to the elements: -0.831 eV/f.u.